The following is a PBE calculation of a geometry-optimized Mg2ScBi2 structure, from Alexandria.

Results
Uncorrected energy = -17.7 eV/f.u.
E_form = -0.09 eV per atom
DOS(E_F) = 8.317 states/eV/cell

Cell lengths 8.3287, 8.3287, 3.7741 Å; angles 90.00, 90.00, 90.00 degrees
Space group P4/mbm (No. 127)
Unique sites:
Mg (0.1243, 0.3757, 0.0000) x4
Sc (0.0000, 0.0000, 0.0000) x2
Bi (0.1783, 0.6783, 0.5000) x4